{"formula": "RbTl2CrF5", "functional": "PBE+U", "state": "optimized geometry", "lattice": [[-3.653, 2.454, 0.845], [-2.396, -4.728, 3.373], [5.829, 3.491, 3.183]], "species": ["F", "Cr", "Rb", "Tl", "F", "Tl", "F", "F", "F"], "frac_coords": [[0.385, 0.115, 0.770], [0.500, 0.000, 0.000], [0.000, 0.500, 0.000], [0.210, 0.210, 0.419], [0.615, 0.885, 0.230], [0.790, 0.790, 0.581], [0.000, 0.000, 0.000], [0.615, 0.346, 0.230], [0.385, 0.654, 0.770]], "energy_ev_per_atom": -4.743, "crystal_system": "orthorhombic"}